[1]
DFT (GGA-PBEsol) results for an optimized crystal structure of La2Zn6Ge3.

Its formation energy is -0.48 eV per atom. The total energy is -3.66 eV/atom.

It has space group P-62m (No. 189), with a = 7.5950 Å, b = 7.5950 Å, c = 4.0864 Å, α = 90.00°, β = 90.00° and γ = 120.00°. The asymmetric unit holds La at (0.3333, 0.6667, 0.0000), Zn at (0.0000, 0.1886, 0.0000), Zn at (0.0000, 0.7132, 0.5000) and Ge at (0.0000, 0.3800, 0.5000).


[2]
DFT (GGA-PBEsol) results for an optimized crystal structure of LaZrGe3.

Its formation energy is 1.07 eV per atom. The total energy is -4.78 eV/atom.

It has space group Pm-3m (No. 221), with a = 5.259 Å, b = 5.259 Å, c = 5.259 Å, α = 90.00°, β = 90.00° and γ = 90.00°. The asymmetric unit holds La at (0.000, 0.000, 0.000), Zr at (0.500, 0.500, 0.500) and Ge at (0.000, 0.000, 0.500).


[3]
DFT (GGA-PBEsol) results for an optimized crystal structure of La2ZrGe2.

Its formation energy is -0.70 eV per atom. The total energy is -6.64 eV/atom.

It has space group P4/mbm (No. 127), with a = 7.608 Å, b = 7.608 Å, c = 4.316 Å, α = 90.00°, β = 90.00° and γ = 90.00°. The asymmetric unit holds La at (0.152, 0.348, 0.000), Zr at (0.000, 0.000, 0.500) and Ge at (0.155, 0.655, 0.500).


[4]
DFT (GGA-PBEsol) results for an optimized crystal structure of LiLuGe.

Its formation energy is -0.72 eV per atom. The total energy is -4.65 eV/atom.

It has space group P-62m (No. 189), with a = 6.8083 Å, b = 6.8083 Å, c = 4.1550 Å, α = 90.00°, β = 90.00° and γ = 120.00°. The asymmetric unit holds Li at (0.0000, 0.2325, 0.0000), Lu at (0.0000, 0.5703, 0.5000), Ge at (0.0000, 0.0000, 0.5000) and Ge at (0.3333, 0.6667, 0.0000).